[1]
A relaxed Be4CdRe crystal. Source: Alexandria via LeMat-Bulk, functional PBE.

DFT total energy: -4.536 eV/atom

Cell lengths 6.4031, 6.4031, 6.4031 Å; angles 90.00, 90.00, 90.00 degrees
Closest atoms and distances in Å follow each position.
Space group F-43m (No. 216)
Symmetry-distinct sites (fractional):
1 Be 0.1210 0.1210 0.3790 [16 per cell]  6 Be 2.19-2.34
2 Cd 0.0000 0.0000 0.0000 [4 per cell]  12 Be 2.66, 4 Re 2.77
3 Re 0.2500 0.2500 0.7500 [4 per cell]  12 Be 2.65, 4 Cd 2.77

=====

[2]
A relaxed Cs2P2WN6 crystal. Source: Alexandria via LeMat-Bulk, functional PBE.

energy relative to the elements, uncorrected: -230 meV/atom

Cell lengths 5.6001, 5.6001, 21.0605 Å; angles 90.00, 90.00, 120.00 degrees
Closest atoms and distances in Å follow each position.
Space group R-3m (No. 166, hexagonal axes)
Symmetry-distinct sites (fractional):
1 Cs 0.0000 0.0000 0.2110 [6 per cell]  6 N 3.13
2 P 0.0000 0.0000 0.3858 [6 per cell]  3 N 1.58
3 W 0.0000 0.0000 0.0000 [3 per cell]  6 N 2.03
4 N 0.0083 0.5042 0.2775 [18 per cell]  1 P 1.58

=====

[3]
A relaxed Er3ScC crystal. Source: Alexandria via LeMat-Bulk, functional PBE.

DFT total energy: -5.900 eV/atom

Cell lengths 4.9433, 4.9433, 4.9433 Å; angles 90.00, 90.00, 90.00 degrees
Closest atoms and distances in Å follow each position.
Space group Pm-3m (No. 221)
Symmetry-distinct sites (fractional):
1 Er 0.0000 0.0000 0.5000 [3 per cell]  2 C 2.47
2 Sc 0.5000 0.5000 0.5000 [1 per cell]  12 Er 3.50
3 C 0.0000 0.0000 0.0000 [1 per cell]  6 Er 2.47

=====

[4]
A relaxed CrSiP2Rh crystal. Source: Alexandria via LeMat-Bulk, functional PBE.

energy relative to the elements, uncorrected: 709 meV/atom

Cell lengths 4.2805, 4.2805, 4.7204 Å; angles 90.00, 90.00, 90.00 degrees
Closest atoms and distances in Å follow each position.
Space group P4/mmm (No. 123)
Symmetry-distinct sites (fractional):
1 Cr 0.0000 0.0000 0.0000 [1 per cell]  4 P 2.14, 2 Rh 2.36
2 Si 0.5000 0.5000 0.5000 [1 per cell]  4 Rh 3.03, 8 P 3.19
3 P 0.0000 0.5000 0.0000 [2 per cell]  2 Cr 2.14
4 Rh 0.0000 0.0000 0.5000 [1 per cell]  2 Cr 2.36

=====

[5]
A relaxed CoSnH crystal. Source: Alexandria via LeMat-Bulk, functional PBE.

ΔE to the lowest computed polymorph: 63 meV per atom

Cell lengths 4.7378, 5.8378, 11.7482 Å; angles 94.69, 98.24, 105.56 degrees
Closest atoms and distances in Å follow each position.
Space group P1 (No. 1)
Symmetry-distinct sites (fractional):
1 Co 0.0000 0.0000 0.0000 [1 per cell]  2 H 1.63-1.76
2 Co 0.0369 0.5293 0.0117 [1 per cell]  2 H 1.63-1.74
3 Co 0.1674 0.2531 0.8128 [1 per cell]  2 H 1.63-1.65
4 Co 0.3954 0.9277 0.1686 [1 per cell]  2 H 1.61-1.70
5 Co 0.5465 0.0502 0.4629 [1 per cell]  3 H 1.70-1.73
6 Co 0.5881 0.5320 0.5390 [1 per cell]  3 H 1.63-1.73
7 Co 0.7441 0.3251 0.3039 [1 per cell]  2 H 1.60-1.70
8 Co 0.9440 0.9277 0.6367 [1 per cell]  3 H 1.61-1.72
9 Sn 0.0915 0.1875 0.4607 [1 per cell]  2 H 2.40-2.63, 4 Co 2.49-2.64
10 Sn 0.1153 0.6836 0.4301 [1 per cell]  2 Co 2.49-2.54, 3 H 2.59-2.75
11 Sn 0.1600 0.5759 0.6794 [1 per cell]  2 H 2.42-2.56, 2 Co 2.55-2.58
12 Sn 0.2100 0.3302 0.1924 [1 per cell]  1 H 2.36, 1 Co 2.64
13 Sn 0.5404 0.6388 0.9232 [1 per cell]  2 H 2.47-2.51, 4 Co 2.57-2.69
14 Sn 0.5432 0.1538 0.9799 [1 per cell]  3 H 2.34-2.59, 2 Co 2.54-2.55
15 Sn 0.5694 0.1749 0.6898 [1 per cell]  6 Co 2.66-2.89, 3 H 2.77-2.98
16 Sn 0.8221 0.7169 0.1807 [1 per cell]  5 Co 2.63-2.88, 1 H 2.68
17 H 0.0034 0.9685 0.7766 [1 per cell]  2 Co 1.61-1.63
18 H 0.0192 0.2601 0.9313 [1 per cell]  3 Co 1.65-1.76
19 H 0.0971 0.7699 0.9476 [1 per cell]  2 Co 1.63
20 H 0.5074 0.0210 0.3133 [1 per cell]  3 Co 1.70-1.85, 1 H 1.91
21 H 0.5927 0.3320 0.4267 [1 per cell]  3 Co 1.70
22 H 0.6795 0.8286 0.5132 [1 per cell]  3 Co 1.70-1.73
23 H 0.6805 0.7025 0.6628 [1 per cell]  2 Co 1.63-1.64
24 H 0.7011 0.1409 0.1901 [1 per cell]  2 Co 1.60-1.61

=====

[6]
A relaxed SmU3In3Te8 crystal. Source: Alexandria via LeMat-Bulk, functional PBE.

energy relative to the elements, uncorrected: -624 meV/atom

Cell lengths 8.7474, 8.7474, 24.6825 Å; angles 90.00, 90.00, 120.00 degrees
Closest atoms and distances in Å follow each position.
Space group R-3m (No. 166, hexagonal axes)
Symmetry-distinct sites (fractional):
1 Sm 0.0000 0.0000 0.0000 [3 per cell]  6 Te 3.15
2 U 0.0000 0.5000 0.0000 [9 per cell]  6 Te 3.10-3.12
3 In 0.0000 0.5000 0.5000 [9 per cell]  6 Te 3.41-3.43
4 Te 0.0000 0.0000 0.2594 [6 per cell]  3 U 3.12, 3 In 3.41
5 Te 0.0062 0.5031 0.2594 [18 per cell]  2 U 3.10, 1 Sm 3.15, 2 In 3.43